Compound: Hf8Fe2Pb
Source: Alexandria
Functional: PBE
Structure: optimized geometry

Total magnetization = 0.00 μB per formula unit
DOS(E_F) = 10.401 states/eV/f.u.
Density = 12688 kg/m3
ΔH_f (0 K) = -3.4 kJ per mole of atoms

abc: 5.620 7.627 7.627
angles: 44.41 87.75 87.75
Fractional positions:
Hf: 0.624 0.138 0.633
Hf: 0.119 0.404 0.404
Hf: 0.881 0.596 0.596
Hf: 0.376 0.862 0.367
Hf: 0.119 0.784 0.784
Hf: 0.624 0.633 0.138
Hf: 0.881 0.216 0.216
Hf: 0.376 0.367 0.862
Fe: 0.601 0.735 0.735
Fe: 0.399 0.265 0.265
Pb: 0.000 0.000 0.000

---

Compound: HfFeRh2Pb
Source: Alexandria
Functional: PBE
Structure: optimized geometry

Total magnetization = 2.54 μB per formula unit
DOS(E_F) = 5.050 states/eV/f.u.
Density = 10913 kg/m3
ΔH_f (0 K) = 46.3 kJ per mole of atoms

abc: 4.610 4.610 4.635
angles: 90.00 90.00 90.00
Fractional positions:
Pb: 0.500 0.500 0.500
Rh: 0.000 0.500 0.000
Rh: 0.500 0.000 0.000
Fe: 0.000 0.000 0.000
Hf: 0.000 0.000 0.500

---

Compound: HfTaFePb2
Source: Alexandria
Functional: PBE
Structure: optimized geometry

Total magnetization = 0.04 μB per formula unit
DOS(E_F) = 5.581 states/eV/f.u.
Density = 12116 kg/m3
ΔH_f (0 K) = 95.1 kJ per mole of atoms

abc: 4.936 4.667 4.936
angles: 90.00 90.00 90.00
Fractional positions:
Fe: 0.000 0.000 0.000
Pb: 0.000 0.000 0.500
Pb: 0.500 0.000 0.000
Ta: 0.500 0.500 0.500
Hf: 0.000 0.500 0.000

---

Compound: HfFePb2W
Source: Alexandria
Functional: PBE
Structure: optimized geometry

Total magnetization = 0.01 μB per formula unit
DOS(E_F) = 5.007 states/eV/f.u.
Density = 12651 kg/m3
ΔH_f (0 K) = 107.7 kJ per mole of atoms

abc: 4.860 4.627 4.860
angles: 90.00 90.00 90.00
Fractional positions:
Hf: 0.500 0.500 0.500
Pb: 0.500 0.000 0.000
Pb: 0.000 0.000 0.500
W: 0.000 0.500 0.000
Fe: 0.000 0.000 0.000